A plane-wave DFT calculation with GGA+U was carried out for a relaxed MnTl3Cd2F9 crystal.

For the total energy, the calculation gives -65.4 eV for the cell shown. The value obtained for the calculated density is 6.8 g/cm3. The magnetization comes out at 5.00 Bohr magnetons per cell. The calculated volume comes out at 17.4 Å³ per atom.

Unit cell a=6.266 b=6.266 c=7.667 alpha=90.00 beta=90.00 gamma=120.00
Atoms (fractional coordinates):
F 0.839 0.161 0.660
F 0.000 0.500 0.000
F 0.500 0.500 0.000
F 0.322 0.161 0.660
F 0.500 0.000 0.000
F 0.161 0.839 0.340
F 0.161 0.322 0.340
F 0.678 0.839 0.340
F 0.839 0.678 0.660
Tl 0.667 0.333 0.329
Tl 0.000 0.000 0.000
Tl 0.333 0.667 0.671
Cd 0.667 0.333 0.825
Cd 0.333 0.667 0.175
Mn 0.000 0.000 0.500